# 1
Below is an optimized crystal structure of RbTi3Nb, with properties calculated at the PBE-GGA level.

DOS at the Fermi energy: 9.0 states/eV/f.u.
Formation energy: 1158 meV per atom
Raw total energy: -5.786 eV per atom
Space group: Pm-3m

Unit cell a=5.068 b=5.068 c=5.068 alpha=90.00 beta=90.00 gamma=90.00
Site moments in Bohr magnetons follow the coordinates.
Fractional coordinates of all 5 atoms:
Rb: 0.500 0.500 0.500  0.00
Ti: 0.000 0.000 0.500  0.16
Ti: 0.500 0.000 0.000  0.29
Nb: 0.000 0.000 0.000  -0.06
Ti: 0.000 0.500 0.000  0.24

---

# 2
Below is an optimized crystal structure of Rb2TiNb, with properties calculated at the PBE-GGA level.

DOS at the Fermi energy: 4.8 states/eV/f.u.
Formation energy: 1461 meV per atom
Raw total energy: -3.513 eV per atom
Energy above the most stable polymorph in this dataset: 0 meV/atom
Space group: I-42d

Unit cell a=13.734 b=13.734 c=9.983 alpha=46.54 beta=46.54 gamma=90.00
Site moments in Bohr magnetons follow the coordinates.
Fractional coordinates of all 8 atoms:
Rb: 0.287 0.625 0.250  0.02
Ti: 0.500 0.500 0.000  0.57
Rb: 0.463 0.125 0.250  0.02
Rb: 0.375 0.537 0.750  0.02
Ti: 0.250 0.750 0.500  0.56
Rb: 0.875 0.713 0.750  0.02
Nb: 0.000 0.000 0.000  0.72
Nb: 0.750 0.250 0.500  0.71